(1)
Computed, not measured: a geometry-optimized Ir2Se structure at the PBE level of DFT.

Unit cell a=3.905 b=3.905 c=7.841 alpha=90.00 beta=90.00 gamma=120.00
Element x y z (fractional)
Ir1 0.667 0.333 0.418
Ir2 0.333 0.667 0.918
Ir3 0.667 0.333 0.082
Ir4 0.333 0.667 0.582
Se1 0.000 0.000 0.750
Se2 0.000 0.000 0.250

## Properties
- magnetization (μB/f.u.) = 0.0
- polymorph energy (0 for the lowest one) (eV/atom) = 0.3095
- formation energy (no corrections) (eV per atom) = 0.318
- total energy (eV/atom) = -6.7512
- ρ (g/cm3) = 14.9

---

(2)
Computed, not measured: a geometry-optimized Cd2InTc structure at the PBE level of DFT.

Unit cell a=6.050 b=6.050 c=6.050 alpha=148.77 beta=135.17 gamma=55.64
Each line ends with the local moment (μB).
Element x y z (fractional)
Cd1 0.032 0.032 0.000  0.00
Cd2 0.468 0.468 0.000  0.00
In1 0.750 0.250 0.500  -0.02
Tc1 0.250 0.750 0.500  0.63

## Properties
- magnetization (μB/f.u.) = 0.6
- DFT formation energy (eV/atom) = 0.269
- total energy (eV/atom) = -3.4646
- ρ (g/cm3) = 9.0

---

(3)
Computed, not measured: a geometry-optimized LiPd7I12 structure at the PBE level of DFT.

Unit cell a=9.220 b=9.220 c=9.220 alpha=107.76 beta=107.76 gamma=107.76
Each line ends with the local moment (μB).
Element x y z (fractional)
I1 0.635 0.572 0.850  0.10
I2 0.572 0.850 0.635  0.10
I3 0.850 0.635 0.572  0.10
I4 0.365 0.428 0.150  0.10
I5 0.150 0.365 0.428  0.10
I6 0.215 0.066 0.716  0.01
I7 0.934 0.284 0.785  0.01
I8 0.284 0.785 0.934  0.01
I9 0.066 0.716 0.215  0.01
I10 0.785 0.934 0.284  0.01
I11 0.716 0.215 0.066  0.01
I12 0.428 0.150 0.365  0.10
Li1 0.000 0.000 0.000  0.00
Pd1 0.887 0.959 0.654  0.01
Pd2 0.113 0.041 0.346  0.01
Pd3 0.500 0.500 0.500  0.77
Pd4 0.041 0.346 0.113  0.01
Pd5 0.654 0.887 0.959  0.01
Pd6 0.959 0.654 0.887  0.01
Pd7 0.346 0.113 0.041  0.01

## Properties
- magnetization (μB/f.u.) = 1.8
- formation energy (no corrections) (eV per atom) = -0.208
- total energy (eV/atom) = -3.0509
- ρ (g/cm3) = 5.9